Entry from Alexandria via LeMat-Bulk: a relaxed TmInHgPt crystal (PBE-GGA).

final energy: -4.002 eV per atom
V: 336.0 Å³/cell
formation enthalpy at 0 K: -0.61 eV/atom
DOS(E_F): 0.44 states/eV per atom
mass density: 13.4 g/cm³

a = 6.952 Å, b = 6.952 Å, c = 6.952 Å
α = 90.00°, β = 90.00°, γ = 90.00°
Space group F-43m (No. 216)
Asymmetric unit:
Tm1 0.000 0.000 0.000 (multiplicity 4)
In1 0.000 0.000 0.500 (multiplicity 4)
Hg1 0.250 0.250 0.750 (multiplicity 4)
Pt1 0.250 0.250 0.250 (multiplicity 4)

=====

Entry from Alexandria via LeMat-Bulk: a relaxed Tb6YAg crystal (PBE-GGA).

final energy: -4.593 eV per atom
V: 737.7 Å³/cell
formation enthalpy at 0 K: 0.04 eV/atom
DOS(E_F): 1.39 states/eV per atom
mass density: 7.8 g/cm³

a = 9.3299 Å, b = 9.3299 Å, c = 9.7900 Å
α = 90.00°, β = 90.00°, γ = 120.00°
Space group R-3 (No. 148, hexagonal axes)
Asymmetric unit:
Tb1 0.0300 0.2526 0.2076 (multiplicity 18)
Y1 0.0000 0.0000 0.5000 (multiplicity 3)
Ag1 0.0000 0.0000 0.0000 (multiplicity 3)

=====

Entry from Alexandria via LeMat-Bulk: a relaxed NdAgTeSe crystal (PBE-GGA).

final energy: -4.646 eV per atom
V: 699.6 Å³/cell
uncorrected formation energy: -1.085 eV/atom
mass density: 6.5 g/cm³

a = 4.7551 Å, b = 4.7551 Å, c = 35.7289 Å
α = 90.00°, β = 90.00°, γ = 120.00°
Space group R-3m (No. 166, hexagonal axes)
Asymmetric unit:
Nd1 0.0000 0.0000 0.1112 (multiplicity 6)
Ag1 0.0000 0.0000 0.3069 (multiplicity 6)
Te1 0.0000 0.0000 0.3880 (multiplicity 6)
Se1 0.0000 0.0000 0.1965 (multiplicity 6)

=====

Entry from Alexandria via LeMat-Bulk: a relaxed Ce5NdSn3 crystal (PBE-GGA).

final energy: -5.646 eV per atom
V: 523.3 Å³/cell
formation enthalpy at 0 K: -0.49 eV/atom
DOS(E_F): 2.53 states/eV per atom
mass density: 7.6 g/cm³

a = 9.5246 Å, b = 9.5246 Å, c = 6.6614 Å
α = 90.00°, β = 90.00°, γ = 120.00°
Space group P6_3/mcm (No. 193)
Asymmetric unit:
Ce1 0.0000 0.3385 0.2500 (multiplicity 6)
Ce2 0.3333 0.6667 0.0000 (multiplicity 4)
Nd1 0.0000 0.0000 0.0000 (multiplicity 2)
Sn1 0.0000 0.3300 0.7500 (multiplicity 6)

=====

Entry from Alexandria via LeMat-Bulk: a relaxed Cu3SnAs crystal (PBE-GGA).

final energy: -3.820 eV per atom
V: 97.8 Å³/cell
formation enthalpy at 0 K: 0.37 eV/atom
DOS(E_F): 0.50 states/eV per atom
mass density: 6.5 g/cm³

a = 4.607 Å, b = 4.607 Å, c = 4.607 Å
α = 90.00°, β = 90.00°, γ = 90.00°
Space group Pm-3m (No. 221)
Asymmetric unit:
Cu1 0.000 0.000 0.500 (multiplicity 3)
Sn1 0.500 0.500 0.500 (multiplicity 1)
As1 0.000 0.000 0.000 (multiplicity 1)

=====

Entry from Alexandria via LeMat-Bulk: a relaxed La6P3ICl2 crystal (PBE-GGA).

final energy: -5.868 eV per atom
V: 691.0 Å³/cell
uncorrected formation energy: -1.615 eV/atom
DOS(E_F): 0.38 states/eV per atom
mass density: 5.4 g/cm³

a = 19.125 Å, b = 4.259 Å, c = 8.836 Å
α = 90.00°, β = 106.21°, γ = 90.00°
Space group C2/m (No. 12)
Asymmetric unit:
La1 0.007 0.000 0.221 (multiplicity 4)
La2 0.158 0.500 0.104 (multiplicity 4)
La3 0.178 0.500 0.564 (multiplicity 4)
P1 0.000 0.500 0.000 (multiplicity 2)
P2 0.165 0.000 0.332 (multiplicity 4)
I1 0.000 0.500 0.500 (multiplicity 2)
Cl1 0.171 0.000 0.840 (multiplicity 4)